(A)
{
  "formula": "Zn2CF",
  "functional": "PBE",
  "state": "relaxed",
  "magmom_total_mub_per_atom": 0.2500,
  "lattice_angstrom": [[4.8806, 0.0000, 0.0000], [0.0000, 4.8806, 0.0000], [2.4403, 2.4403, 4.8620]],
  "species": ["Zn", "Zn", "Zn", "Zn", "C", "C", "F", "F"],
  "fractional_positions": [[0.5741, 0.1250, 0.2500], [0.1759, 0.6250, 0.2500], [0.3750, 0.4259, 0.7500], [0.8750, 0.8241, 0.7500], [0.5000, 0.5000, 0.0000], [0.2500, 0.7500, 0.5000], [0.0000, 0.0000, 0.0000], [0.7500, 0.2500, 0.5000]]
}

---

(B)
{
  "formula": "Zn2CF",
  "functional": "PBE",
  "state": "relaxed",
  "magmom_total_mub_per_atom": 0.2308,
  "lattice_angstrom": [[1.6700, -3.4446, 1.0208], [-2.2756, -3.1304, 0.8478], [-0.1364, -3.0814, -2.4865]],
  "species": ["Zn", "Zn", "C", "F"],
  "fractional_positions": [[0.2500, 0.2500, 0.2500], [0.7500, 0.7500, 0.7500], [0.0000, 0.0000, 0.0000], [0.5000, 0.5000, 0.5000]]
}

---

Which of them is least stable? Easy: (B).

---

(A)
{
  "formula": "Zr2CF",
  "functional": "PBE",
  "state": "relaxed",
  "magmom_total_mub_per_atom": 0.0000,
  "lattice_angstrom": [[-2.5939, -1.8818, -0.8447], [0.2503, -2.1287, -2.5276], [1.3638, -6.2439, 3.2208]],
  "species": ["C", "Zr", "Zr", "F"],
  "fractional_positions": [[0.5000, 0.5000, 0.5000], [0.1044, 0.1044, 0.6869], [0.8956, 0.8956, 0.3131], [0.0000, 0.0000, 0.0000]]
}

---

(B)
{
  "formula": "Zr2CF",
  "functional": "PBE",
  "state": "relaxed",
  "magmom_total_mub_per_atom": 0.0000,
  "lattice_angstrom": [[-4.1505, -2.9239, 1.1314], [2.8978, -4.2942, -0.4674], [0.5436, -3.3575, 5.2740]],
  "species": ["C", "C", "Zr", "Zr", "Zr", "Zr", "F", "F"],
  "fractional_positions": [[0.5000, 0.5000, 0.0000], [0.2500, 0.7500, 0.5000], [0.5937, 0.1250, 0.2500], [0.1563, 0.6250, 0.2500], [0.3750, 0.4063, 0.7500], [0.8750, 0.8437, 0.7500], [0.0000, 0.0000, 0.0000], [0.7500, 0.2500, 0.5000]]
}

---

(C)
{
  "formula": "Zr2CF",
  "functional": "PBE",
  "state": "relaxed",
  "magmom_total_mub_per_atom": 0.0000,
  "lattice_angstrom": [[-1.5862, -3.3580, 1.8998], [-4.0064, -0.0417, 1.1612], [-2.7276, -2.4372, -2.0054]],
  "species": ["C", "Zr", "Zr", "F"],
  "fractional_positions": [[0.0000, 0.0000, 0.0000], [0.2500, 0.2500, 0.2500], [0.7500, 0.7500, 0.7500], [0.5000, 0.5000, 0.5000]]
}

---

Which of them is least stable? Easy: (C).

---

(A)
{
  "formula": "ZrC2F",
  "functional": "PBE",
  "state": "relaxed",
  "magmom_total_mub_per_atom": 0.0000,
  "lattice_angstrom": [[3.1554, 0.0000, 0.0000], [0.0000, 3.1554, 0.0000], [1.5777, 1.5777, 8.8028]],
  "species": ["C", "C", "C", "C", "Zr", "Zr", "F", "F"],
  "fractional_positions": [[0.8750, 0.1250, 0.2500], [0.8750, 0.6250, 0.2500], [0.3750, 0.1250, 0.7500], [0.8750, 0.1250, 0.7500], [0.0000, 0.0000, 0.0000], [0.7500, 0.2500, 0.5000], [0.5000, 0.5000, 0.0000], [0.2500, 0.7500, 0.5000]]
}

---

(B)
{
  "formula": "ZrC2F",
  "functional": "PBE",
  "state": "relaxed",
  "magmom_total_mub_per_atom": 0.0000,
  "lattice_angstrom": [[0.0000, 2.8020, 2.8020], [2.8020, 0.0000, 2.8020], [2.8020, 2.8020, 0.0000]],
  "species": ["C", "C", "Zr", "F"],
  "fractional_positions": [[0.2500, 0.2500, 0.2500], [0.7500, 0.7500, 0.7500], [0.5000, 0.5000, 0.5000], [0.0000, 0.0000, 0.0000]]
}

---

Which of them is least stable? Easy: (B).

---

(A)
{
  "formula": "FeC2",
  "functional": "PBE",
  "state": "relaxed",
  "magmom_total_mub_per_atom": 0.7738,
  "lattice_angstrom": [[-2.4206, -0.0849, -0.7110], [1.6590, -1.6356, -0.9718], [-0.8685, -2.8393, 3.2961]],
  "species": ["C", "C", "Fe"],
  "fractional_positions": [[0.6667, 0.3333, 0.7657], [0.3333, 0.6667, 0.8047], [0.3333, 0.6667, 0.3086]]
}

---

(B)
{
  "formula": "FeC2",
  "functional": "PBE",
  "state": "relaxed",
  "magmom_total_mub_per_atom": 0.0000,
  "lattice_angstrom": [[-2.3456, -2.8527, -0.0548], [-0.0953, -3.4604, -1.2880], [1.9578, -1.8683, 4.4930]],
  "species": ["Fe", "Fe", "C", "C", "C", "C"],
  "fractional_positions": [[0.9658, 0.9658, 0.3687], [0.2294, 0.2294, 0.9552], [0.9230, 0.9230, 0.0332], [0.4166, 0.4166, 0.6691], [0.6790, 0.6790, 0.4379], [0.6195, 0.6195, 0.7026]]
}

---

Which of them is least stable? Easy: (B).

---

(A)
{
  "formula": "FeC2",
  "functional": "PBE",
  "state": "relaxed",
  "magmom_total_mub_per_atom": 0.0641,
  "lattice_angstrom": [[3.7035, 0.0000, 0.0118], [0.0000, 2.5073, 0.0000], [-2.9130, 0.0000, 5.3286]],
  "species": ["C", "C", "C", "C", "Fe", "Fe"],
  "fractional_positions": [[0.1400, 0.0000, 0.5801], [0.1400, 0.5000, 0.0801], [0.9378, 0.0000, 0.0850], [0.9378, 0.5000, 0.5850], [0.4569, 0.0000, 0.4009], [0.4569, 0.5000, 0.9009]]
}

---

(B)
{
  "formula": "FeC2",
  "functional": "PBE",
  "state": "relaxed",
  "magmom_total_mub_per_atom": 0.0001,
  "lattice_angstrom": [[2.8246, 0.0000, 0.0000], [0.0000, 2.5252, 0.0000], [-1.3920, 0.0000, 3.4853]],
  "species": ["C", "C", "Fe"],
  "fractional_positions": [[0.7898, 0.5000, 0.8241], [0.8981, 0.0000, 0.0409], [0.1803, 0.0000, 0.6004]]
}

---

(C)
{
  "formula": "FeC2",
  "functional": "PBE",
  "state": "relaxed",
  "magmom_total_mub_per_atom": 0.4909,
  "lattice_angstrom": [[-2.4131, -1.7392, 1.6863], [-1.4517, -1.6178, -2.6395], [3.3379, -0.0148, 0.7415]],
  "species": ["C", "C", "Fe"],
  "fractional_positions": [[0.3735, 0.3735, 0.0000], [0.6265, 0.6265, 0.0000], [0.0000, 0.0000, 0.0000]]
}

---

(D)
{
  "formula": "FeC2",
  "functional": "PBE",
  "state": "relaxed",
  "magmom_total_mub_per_atom": 0.8923,
  "lattice_angstrom": [[-1.3812, 0.0618, 2.0376], [-0.5019, -1.6271, -1.7787], [4.4158, -4.7933, 3.1387]],
  "species": ["C", "C", "Fe"],
  "fractional_positions": [[0.0000, 0.0000, 0.8333], [0.3333, 0.6667, 0.8333], [0.6667, 0.3333, 0.3333]]
}

---

Which of them is least stable? Easy: (C).

---

(A)
{
  "formula": "FeC2",
  "functional": "PBE",
  "state": "relaxed",
  "magmom_total_mub_per_atom": 0.1174,
  "lattice_angstrom": [[-5.1770, -0.2663, 1.1549], [3.4210, -3.3052, 2.3618], [0.3549, 1.8006, 2.0059]],
  "species": ["Fe", "Fe", "Fe", "C", "C", "C", "C", "C", "C"],
  "fractional_positions": [[0.3333, 0.6667, 0.0000], [0.6667, 0.3333, 0.0000], [0.0000, 0.0000, 0.5000], [0.2669, 0.0000, 0.0000], [0.0000, 0.2669, 0.0000], [0.7331, 0.7331, 0.0000], [0.6305, 0.0000, 0.5000], [0.0000, 0.6305, 0.5000], [0.3695, 0.3695, 0.5000]]
}

---

(B)
{
  "formula": "FeC2",
  "functional": "PBE",
  "state": "relaxed",
  "magmom_total_mub_per_atom": 0.0001,
  "lattice_angstrom": [[2.4724, -2.5507, 0.0000], [2.4724, 2.5507, 0.0000], [0.0000, 0.0000, 4.1363]],
  "species": ["Fe", "Fe", "C", "C", "C", "C"],
  "fractional_positions": [[0.1442, 0.8558, 0.2500], [0.8558, 0.1442, 0.7500], [0.9143, 0.3608, 0.2500], [0.0857, 0.6392, 0.7500], [0.6392, 0.0857, 0.2500], [0.3608, 0.9143, 0.7500]]
}

---

Which of them is least stable? Easy: (A).